A plane-wave DFT calculation with PBE was carried out for an optimized crystal structure of Tl2Hg2H2Br.

The value obtained for the total energy is -27.98 eV per cell.

It has space group C2/m (No. 12), with a = 7.239 Å, b = 4.180 Å, c = 12.258 Å, α = 90.00°, β = 101.28° and γ = 90.00°. Symmetry generates all atoms from Tl at (0.106, 0.000, 0.317), Hg at (0.190, 0.500, 0.070), H at (0.242, 0.500, 0.223) and Br at (0.000, 0.500, 0.500).